(1)
The following is a DFT calculation (PBE) of a relaxed structure of BaNaAlAu.

Unit cell a=4.540 b=4.540 c=12.692 alpha=90.00 beta=90.00 gamma=90.00
Element x y z (fractional)
1 Ba 0.250 0.250 0.222
2 Ba 0.750 0.750 0.778
3 Na 0.250 0.750 0.500
4 Na 0.750 0.250 0.500
5 Al 0.250 0.750 0.000
6 Al 0.750 0.250 0.000
7 Au 0.250 0.250 0.898
8 Au 0.750 0.750 0.102

As for the symmetry: No. 129. The calculation puts the density of states at the Fermi level at 0.5036 states/eV/atom. The formation energy comes out at -0.3856 eV/atom. Its total energy is -2.951 eV per atom.

(2)
The following is a DFT calculation (PBE) of a relaxed structure of TePPd2N.

Unit cell a=5.072 b=5.072 c=3.965 alpha=90.00 beta=90.00 gamma=90.00
Element x y z (fractional)
1 Te 0.000 0.000 0.000
2 P 0.500 0.500 0.500
3 Pd 0.000 0.500 0.000
4 Pd 0.500 0.000 0.000
5 N 0.000 0.000 0.500

As for the symmetry: No. 123. The calculation puts the density of states at the Fermi level at 1.1621 states/eV/atom. Its total energy is -4.226 eV per atom.